A plane-wave DFT calculation with GGA-PBE was carried out for a relaxed structure of MgNbCo2Te.

Calculated values
**Symmetry**: P4/mmm
**Energy**: -24.23 eV/cell
**E_form (uncorrected)**: 0.96 eV per atom

Cell lengths 4.612, 4.612, 5.130 Å; angles 90.00, 90.00, 90.00 degrees
Sites, in units of the cell vectors:
Mg (0.000, 0.000, 0.000)
Nb (0.500, 0.500, 0.000)
Co (0.000, 0.500, 0.500)
Co (0.500, 0.000, 0.500)
Te (0.500, 0.500, 0.500)